*1*
First-principles (PBE) data for a relaxed Cd2CuMo crystal, as listed in Alexandria. Values from VASP.

The calculation puts the magnetization at 0.25 μB per atom. The density of states at the Fermi level comes out at 0.6539 states/eV/atom. The value obtained for the calculated density is 8.50 g/cm³. The symmetry is I-42d (122).

```
&SYSTEM
  ibrav = 0, nat = 8, ntyp = 3
/
ATOMIC_SPECIES
Cd 112.41 Cd.upf
Cu 63.55 Cu.upf
Mo 95.94 Mo.upf
CELL_PARAMETERS angstrom
-3.689 3.689 2.759
3.689 -3.689 2.759
3.689 3.689 -2.759
ATOMIC_POSITIONS crystal
Cd 0.098 0.625 0.973
Cd 0.375 0.348 0.473
Cd 0.652 0.125 0.027
Cd 0.875 0.902 0.527
Cu 0.000 0.000 0.000
Cu 0.750 0.250 0.500
Mo 0.250 0.750 0.500
Mo 0.500 0.500 0.000
```

*2*
First-principles (PBE) data for a relaxed Cd2CuMo crystal, as listed in Alexandria. Values from VASP.

The calculation puts the magnetization at 0.06 μB per atom. The density of states at the Fermi level comes out at 0.8005 states/eV/atom. The value obtained for the calculated density is 9.16 g/cm³. The symmetry is Pm (6).

```
&SYSTEM
  ibrav = 0, nat = 4, ntyp = 3
/
ATOMIC_SPECIES
Cd 112.41 Cd.upf
Cu 63.55 Cu.upf
Mo 95.94 Mo.upf
CELL_PARAMETERS angstrom
2.789 0.000 0.000
0.000 4.360 0.000
-1.387 0.000 5.730
ATOMIC_POSITIONS crystal
Cd 0.000 0.000 0.000
Cd 0.371 0.500 0.737
Cu 0.152 0.500 0.278
Mo 0.738 0.000 0.462
```

*3*
First-principles (PBE) data for a relaxed Cd2CuMo crystal, as listed in Alexandria. Values from VASP.

The calculation puts the magnetization at 0.56 μB per atom. The density of states at the Fermi level comes out at 0.4705 states/eV/atom. The value obtained for the calculated density is 9.05 g/cm³. The symmetry is F-43m (216).

```
&SYSTEM
  ibrav = 0, nat = 4, ntyp = 3
/
ATOMIC_SPECIES
Cd 112.41 Cd.upf
Cu 63.55 Cu.upf
Mo 95.94 Mo.upf
CELL_PARAMETERS angstrom
0.000 3.279 3.279
3.279 0.000 3.279
3.279 3.279 0.000
ATOMIC_POSITIONS crystal
Cd 0.000 0.000 0.000
Cd 0.250 0.250 0.250
Cu 0.500 0.500 0.500
Mo 0.750 0.750 0.750
```

The most stable arrangement is *2*, and the next structure is 149 meV/atom less stable.

*1*
First-principles (PBE) data for a relaxed Cd2CuMo crystal, as listed in Alexandria. Values from VASP.

The calculation puts the magnetization at 0.13 μB per atom. The density of states at the Fermi level comes out at 0.6024 states/eV/atom. The value obtained for the calculated density is 9.28 g/cm³. The symmetry is Immm (71).

```
&SYSTEM
  ibrav = 0, nat = 4, ntyp = 3
/
ATOMIC_SPECIES
Cd 112.41 Cd.upf
Cu 63.55 Cu.upf
Mo 95.94 Mo.upf
CELL_PARAMETERS angstrom
-1.416 2.459 4.934
1.416 -2.459 4.934
1.416 2.459 -4.934
ATOMIC_POSITIONS crystal
Cd 0.229 0.229 0.000
Cd 0.771 0.771 0.000
Cu 0.000 0.500 0.500
Mo 0.500 0.000 0.500
```

*2*
First-principles (PBE) data for a relaxed Cd2CuMo crystal, as listed in Alexandria. Values from VASP.

The calculation puts the magnetization at 0.00 μB per atom. The density of states at the Fermi level comes out at 0.4270 states/eV/atom. The value obtained for the calculated density is 9.20 g/cm³. The symmetry is P4mm (99).

```
&SYSTEM
  ibrav = 0, nat = 4, ntyp = 3
/
ATOMIC_SPECIES
Cd 112.41 Cd.upf
Cu 63.55 Cu.upf
Mo 95.94 Mo.upf
CELL_PARAMETERS angstrom
2.819 0.000 0.000
0.000 2.819 0.000
0.000 0.000 8.732
ATOMIC_POSITIONS crystal
Cd 0.000 0.000 0.000
Cd 0.500 0.500 0.298
Cu 0.000 0.000 0.530
Mo 0.500 0.500 0.741
```

The most stable arrangement is *2*, and the next structure is 195 meV/atom less stable.

*1*
First-principles (PBE) data for a relaxed CdCu2N crystal, as listed in Alexandria. Values from VASP.

The calculation puts the magnetization at 0.00 μB per atom. The density of states at the Fermi level comes out at 0.5416 states/eV/atom. The value obtained for the calculated density is 8.03 g/cm³. The symmetry is Fm-3m (225).

```
&SYSTEM
  ibrav = 0, nat = 4, ntyp = 3
/
ATOMIC_SPECIES
Cd 112.41 Cd.upf
Cu 63.55 Cu.upf
N 14.01 N.upf
CELL_PARAMETERS angstrom
0.000 2.971 2.971
2.971 0.000 2.971
2.971 2.971 0.000
ATOMIC_POSITIONS crystal
Cd 0.000 0.000 0.000
Cu 0.250 0.250 0.250
Cu 0.750 0.750 0.750
N 0.500 0.500 0.500
```

*2*
First-principles (PBE) data for a relaxed CdCu2N crystal, as listed in Alexandria. Values from VASP.

The calculation puts the magnetization at 0.00 μB per atom. The density of states at the Fermi level comes out at 0.8845 states/eV/atom. The value obtained for the calculated density is 6.33 g/cm³. The symmetry is I-42d (122).

```
&SYSTEM
  ibrav = 0, nat = 8, ntyp = 3
/
ATOMIC_SPECIES
Cd 112.41 Cd.upf
Cu 63.55 Cu.upf
N 14.01 N.upf
CELL_PARAMETERS angstrom
-2.467 2.467 5.465
2.467 -2.467 5.465
2.467 2.467 -5.465
ATOMIC_POSITIONS crystal
Cd 0.000 0.000 0.000
Cd 0.750 0.250 0.500
Cu 0.344 0.625 0.219
Cu 0.375 0.594 0.719
Cu 0.406 0.125 0.781
Cu 0.875 0.656 0.281
N 0.250 0.750 0.500
N 0.500 0.500 0.000
```

The most stable arrangement is *2*, and the next structure is 637 meV/atom less stable.

*1*
First-principles (PBE) data for a relaxed Cd3CuN crystal, as listed in Alexandria. Values from VASP.

The calculation puts the magnetization at 0.00 μB per atom. The density of states at the Fermi level comes out at 0.1975 states/eV/atom. The value obtained for the calculated density is 7.20 g/cm³. The symmetry is Pm-3m (221).

```
&SYSTEM
  ibrav = 0, nat = 5, ntyp = 3
/
ATOMIC_SPECIES
Cd 112.41 Cd.upf
Cu 63.55 Cu.upf
N 14.01 N.upf
CELL_PARAMETERS angstrom
4.573 0.000 0.000
0.000 4.573 0.000
0.000 0.000 4.573
ATOMIC_POSITIONS crystal
Cd 0.000 0.000 0.500
Cd 0.000 0.500 0.000
Cd 0.500 0.000 0.000
Cu 0.500 0.500 0.500
N 0.000 0.000 0.000
```

*2*
First-principles (PBE) data for a relaxed Cd3CuN crystal, as listed in Alexandria. Values from VASP.

The calculation puts the magnetization at 0.00 μB per atom. The density of states at the Fermi level comes out at 1.0390 states/eV/atom. The value obtained for the calculated density is 5.88 g/cm³. The symmetry is Pm-3m (221).

```
&SYSTEM
  ibrav = 0, nat = 5, ntyp = 3
/
ATOMIC_SPECIES
Cd 112.41 Cd.upf
Cu 63.55 Cu.upf
N 14.01 N.upf
CELL_PARAMETERS angstrom
4.892 0.000 0.000
0.000 4.892 0.000
0.000 0.000 4.892
ATOMIC_POSITIONS crystal
Cd 0.000 0.000 0.500
Cd 0.000 0.500 0.000
Cd 0.500 0.000 0.000
Cu 0.000 0.000 0.000
N 0.500 0.500 0.500
```

The most stable arrangement is *1*, and the next structure is 698 meV/atom less stable.

*1*
First-principles (PBE) data for a relaxed CdCuTe2N crystal, as listed in Alexandria. Values from VASP.

The calculation puts the magnetization at 0.00 μB per atom. The density of states at the Fermi level comes out at 1.4724 states/eV/atom. The value obtained for the calculated density is 5.71 g/cm³. The symmetry is P4/mmm (123).

```
&SYSTEM
  ibrav = 0, nat = 5, ntyp = 4
/
ATOMIC_SPECIES
Cd 112.41 Cd.upf
Cu 63.55 Cu.upf
Te 127.60 Te.upf
N 14.01 N.upf
CELL_PARAMETERS angstrom
5.717 0.000 0.000
0.000 5.717 0.000
0.000 0.000 3.963
ATOMIC_POSITIONS crystal
Cd 0.000 0.000 0.000
Cu 0.500 0.500 0.500
Te 0.000 0.500 0.000
Te 0.500 0.000 0.000
N 0.000 0.000 0.500
```

*2*
First-principles (PBE) data for a relaxed CdCuTe2N crystal, as listed in Alexandria. Values from VASP.

The calculation puts the magnetization at 0.21 μB per atom. The density of states at the Fermi level comes out at 0.8348 states/eV/atom. The value obtained for the calculated density is 6.70 g/cm³. The symmetry is P4/mmm (123).

```
&SYSTEM
  ibrav = 0, nat = 5, ntyp = 4
/
ATOMIC_SPECIES
Cd 112.41 Cd.upf
Cu 63.55 Cu.upf
Te 127.60 Te.upf
N 14.01 N.upf
CELL_PARAMETERS angstrom
5.587 0.000 0.000
0.000 5.587 0.000
0.000 0.000 3.536
ATOMIC_POSITIONS crystal
Cd 0.000 0.000 0.000
Cu 0.500 0.500 0.500
Te 0.000 0.500 0.500
Te 0.500 0.000 0.500
N 0.500 0.500 0.000
```

The most stable arrangement is *2*, and the next structure is 713 meV/atom less stable.

*1*
First-principles (PBE) data for a relaxed Na2CdCu2 crystal, as listed in Alexandria. Values from VASP.

The calculation puts the magnetization at 0.00 μB per atom. The density of states at the Fermi level comes out at 0.2479 states/eV/atom. The value obtained for the calculated density is 4.69 g/cm³. The symmetry is P4/mbm (127).

```
&SYSTEM
  ibrav = 0, nat = 10, ntyp = 3
/
ATOMIC_SPECIES
Na 22.99 Na.upf
Cd 112.41 Cd.upf
Cu 63.55 Cu.upf
CELL_PARAMETERS angstrom
8.421 0.000 0.000
0.000 8.421 0.000
0.000 0.000 2.848
ATOMIC_POSITIONS crystal
Na 0.133 0.367 0.000
Na 0.367 0.867 0.000
Na 0.633 0.133 0.000
Na 0.867 0.633 0.000
Cd 0.000 0.000 0.000
Cd 0.500 0.500 0.000
Cu 0.165 0.665 0.500
Cu 0.335 0.165 0.500
Cu 0.665 0.835 0.500
Cu 0.835 0.335 0.500
```

*2*
First-principles (PBE) data for a relaxed Na2CdCu2 crystal, as listed in Alexandria. Values from VASP.

The calculation puts the magnetization at 0.00 μB per atom. The density of states at the Fermi level comes out at 0.3568 states/eV/atom. The value obtained for the calculated density is 4.46 g/cm³. The symmetry is P4/mbm (127).

```
&SYSTEM
  ibrav = 0, nat = 10, ntyp = 3
/
ATOMIC_SPECIES
Na 22.99 Na.upf
Cd 112.41 Cd.upf
Cu 63.55 Cu.upf
CELL_PARAMETERS angstrom
6.856 0.000 0.000
0.000 6.856 0.000
0.000 0.000 4.518
ATOMIC_POSITIONS crystal
Na 0.174 0.326 0.000
Na 0.326 0.826 0.000
Na 0.674 0.174 0.000
Na 0.826 0.674 0.000
Cd 0.000 0.000 0.500
Cd 0.500 0.500 0.500
Cu 0.124 0.624 0.500
Cu 0.376 0.124 0.500
Cu 0.624 0.876 0.500
Cu 0.876 0.376 0.500
```

*3*
First-principles (PBE) data for a relaxed Na2CdCu2 crystal, as listed in Alexandria. Values from VASP.

The calculation puts the magnetization at 0.00 μB per atom. The density of states at the Fermi level comes out at 0.3578 states/eV/atom. The value obtained for the calculated density is 4.22 g/cm³. The symmetry is I4/mmm (139).

```
&SYSTEM
  ibrav = 0, nat = 5, ntyp = 3
/
ATOMIC_SPECIES
Na 22.99 Na.upf
Cd 112.41 Cd.upf
Cu 63.55 Cu.upf
CELL_PARAMETERS angstrom
-1.678 1.678 9.965
1.678 -1.678 9.965
1.678 1.678 -9.965
ATOMIC_POSITIONS crystal
Na 0.124 0.124 0.000
Na 0.876 0.876 0.000
Cd 0.500 0.500 0.000
Cu 0.250 0.750 0.500
Cu 0.750 0.250 0.500
```

*4*
First-principles (PBE) data for a relaxed Na2CdCu2 crystal, as listed in Alexandria. Values from VASP.

The calculation puts the magnetization at 0.00 μB per atom. The density of states at the Fermi level comes out at 0.3171 states/eV/atom. The value obtained for the calculated density is 4.41 g/cm³. The symmetry is I4/mmm (139).

```
&SYSTEM
  ibrav = 0, nat = 5, ntyp = 3
/
ATOMIC_SPECIES
Na 22.99 Na.upf
Cd 112.41 Cd.upf
Cu 63.55 Cu.upf
CELL_PARAMETERS angstrom
-2.045 2.045 6.422
2.045 -2.045 6.422
2.045 2.045 -6.422
ATOMIC_POSITIONS crystal
Na 0.250 0.750 0.500
Na 0.750 0.250 0.500
Cd 0.000 0.000 0.000
Cu 0.411 0.411 0.000
Cu 0.589 0.589 0.000
```

The most stable arrangement is *3*, and the next structure is 11 meV/atom less stable.